No. 1
LiHoB4 | PBE | optimized geometry

a = 4.9279 Å, b = 4.9279 Å, c = 4.9279 Å
α = 142.86°, β = 114.13°, γ = 78.11°
Closest atoms and distances in Å follow each position.
Sites, in units of the cell vectors:
Li: 0.0000 0.0000 0.0000  12 B 2.55-2.68
Ho: 0.5000 0.5000 0.0000  12 B 2.62
B: 0.0802 0.7559 0.3243  3 B 1.76-1.88
B: 0.4316 0.7559 0.6757  3 B 1.76-1.88
B: 0.5684 0.2441 0.3243  3 B 1.76-1.88
B: 0.9198 0.2441 0.6757  3 B 1.76-1.88

Summary:
The total DFT energy (no corrections) is -5.806 eV per atom. The space group is Immm. For the density, the calculation gives 5.6 g/cm³.


No. 2
LiHoB | PBE | optimized geometry

a = 4.1930 Å, b = 4.1930 Å, c = 4.1930 Å
α = 60.00°, β = 60.00°, γ = 60.00°
Closest atoms and distances in Å follow each position.
Sites, in units of the cell vectors:
Li: 0.0000 0.0000 0.0000  4 B 2.57
Ho: 0.5000 0.5000 0.5000  4 B 2.57
B: 0.7500 0.7500 0.7500  4 Ho 2.57, 4 Li 2.57

Summary:
The total DFT energy (no corrections) is -4.218 eV per atom. The space group is F-43m. For the density, the calculation gives 5.8 g/cm³.


No. 3
LiHo3B7 | PBE | optimized geometry

a = 8.0055 Å, b = 8.0055 Å, c = 9.2809 Å
α = 90.00°, β = 90.00°, γ = 154.44°
Closest atoms and distances in Å follow each position.
Sites, in units of the cell vectors:
Li: 0.0533 0.9467 0.7500  10 B 2.28-2.37
Li: 0.9467 0.0533 0.2500  10 B 2.28-2.37
Ho: 0.1057 0.8943 0.0611  11 B 2.63-2.71
Ho: 0.1057 0.8943 0.4389  11 B 2.63-2.71
Ho: 0.2398 0.7602 0.7500  10 B 2.63-2.69, 1 Li 2.91
Ho: 0.7602 0.2398 0.2500  10 B 2.63-2.69, 1 Li 2.91
Ho: 0.8943 0.1057 0.5611  11 B 2.63-2.71
Ho: 0.8943 0.1057 0.9389  11 B 2.63-2.71
B: 0.2750 0.7250 0.0327  3 B 1.84-2.03
B: 0.2750 0.7250 0.4673  3 B 1.84-2.03
B: 0.3697 0.6303 0.1515  3 B 1.83-1.84
B: 0.3697 0.6303 0.3485  3 B 1.83-1.84
B: 0.4613 0.5387 0.7500  2 B 1.74
B: 0.4811 0.5189 0.0897  3 B 1.74-1.83
B: 0.4811 0.5189 0.4103  3 B 1.74-1.83
B: 0.5189 0.4811 0.5897  3 B 1.74-1.83
B: 0.5189 0.4811 0.9103  3 B 1.74-1.83
B: 0.5387 0.4613 0.2500  2 B 1.74
B: 0.6303 0.3697 0.6515  3 B 1.83-1.84
B: 0.6303 0.3697 0.8485  3 B 1.83-1.84
B: 0.7250 0.2750 0.5327  3 B 1.84-2.03
B: 0.7250 0.2750 0.9673  3 B 1.84-2.03

Summary:
The total DFT energy (no corrections) is -6.086 eV per atom. The space group is Cmcm. For the density, the calculation gives 7.5 g/cm³.


No. 4
HoLuB4 | PBE | optimized geometry

a = 4.4704 Å, b = 4.4704 Å, c = 4.4704 Å
α = 140.15°, β = 107.76°, γ = 85.82°
Closest atoms and distances in Å follow each position.
Sites, in units of the cell vectors:
Ho: 0.0000 0.0000 0.0000  12 B 2.40-2.41
Lu: 0.5000 0.5000 0.0000  12 B 2.39-2.41
B: 0.0862 0.7516 0.3347  3 B 1.74-1.77
B: 0.4169 0.7516 0.6653  3 B 1.74-1.77
B: 0.5831 0.2484 0.3347  3 B 1.74-1.77
B: 0.9138 0.2484 0.6653  3 B 1.74-1.77

Summary:
The total DFT energy (no corrections) is -5.968 eV per atom. The space group is Immm. For the density, the calculation gives 12.1 g/cm³.


Question: Among the records above, which one has the lowest total DFT energy (no corrections)?
Answer: LiHo3B7


Question: Look up the total DFT energy (no corrections) of the first one.
Answer: -5.806 eV per atom


Question: Which of these has the lowest total DFT energy (no corrections)?
Answer: LiHo3B7


Question: What is the total DFT energy (no corrections) in the second record?
Answer: -4.218 eV per atom